<one>
Crystalline B4W at its relaxed geometry, computed with PBE.

## Properties
Total moment, Bohr magnetons per cell: 0.00
Fermi-level density of states, states/eV/cell: 8.17

Cell lengths 5.3504, 5.3504, 6.5120 Å; angles 90.00, 90.00, 120.00 degrees
Space group P6_3/mmc (No. 194)
Unique sites:
B: 0.0000 0.3371 0.0000
B: 0.3333 0.6667 0.1188
W: 0.0000 0.0000 0.2500
W: 0.3333 0.6667 0.7500

<two>
Crystalline B4W at its relaxed geometry, computed with PBE.

## Properties
Total moment, Bohr magnetons per cell: 0.00
Fermi-level density of states, states/eV/cell: 8.06

Cell lengths 6.988, 6.988, 3.887 Å; angles 90.00, 90.00, 90.00 degrees
Space group P4/mbm (No. 127)
Unique sites:
B: 0.000 0.000 0.200
B: 0.024 0.182 0.500
B: 0.088 0.412 0.500
W: 0.120 0.620 0.000

Bottom line: <one>, by a margin of 99 meV/atom.

<one>
Crystalline YBW3 at its relaxed geometry, computed with PBE.

## Properties
Total moment, Bohr magnetons per cell: 0.00
Fermi-level density of states, states/eV/cell: 5.36

Cell lengths 4.814, 4.814, 4.814 Å; angles 90.00, 90.00, 90.00 degrees
Space group Pm-3m (No. 221)
Unique sites:
Y: 0.000 0.000 0.000
B: 0.500 0.500 0.500
W: 0.000 0.000 0.500

<two>
Crystalline YBW3 at its relaxed geometry, computed with PBE.

## Properties
Total moment, Bohr magnetons per cell: 0.00
Fermi-level density of states, states/eV/cell: 3.44

Cell lengths 4.371, 4.371, 4.371 Å; angles 90.00, 90.00, 90.00 degrees
Space group Pm-3m (No. 221)
Unique sites:
Y: 0.000 0.000 0.000
B: 0.500 0.500 0.500
W: 0.000 0.500 0.500

Bottom line: <two>, by a margin of 3631 meV/atom.

<one>
Crystalline ZnB3W at its relaxed geometry, computed with PBE.

## Properties
Total moment, Bohr magnetons per cell: 0.10
Fermi-level density of states, states/eV/cell: 4.60

Cell lengths 3.844, 3.844, 3.844 Å; angles 90.00, 90.00, 90.00 degrees
Space group Pm-3m (No. 221)
Unique sites:
Zn: 0.000 0.000 0.000
B: 0.000 0.000 0.500
W: 0.500 0.500 0.500

<two>
Crystalline ZnB3W at its relaxed geometry, computed with PBE.

## Properties
Total moment, Bohr magnetons per cell: 0.00
Fermi-level density of states, states/eV/cell: 1.82

Cell lengths 4.187, 4.187, 4.187 Å; angles 90.00, 90.00, 90.00 degrees
Space group Pm-3m (No. 221)
Unique sites:
Zn: 0.000 0.000 0.000
B: 0.000 0.500 0.500
W: 0.500 0.500 0.500

Bottom line: <two>, by a margin of 724 meV/atom.

<one>
Crystalline ZnB2W at its relaxed geometry, computed with PBE.

## Properties
Total moment, Bohr magnetons per cell: 0.00
Fermi-level density of states, states/eV/cell: 5.52

Cell lengths 5.785, 5.785, 5.389 Å; angles 90.00, 90.00, 90.00 degrees
Space group I-42d (No. 122)
Unique sites:
Zn: 0.000 0.000 0.000
B: 0.235 0.750 0.125
W: 0.000 0.000 0.500

<two>
Crystalline ZnB2W at its relaxed geometry, computed with PBE.

## Properties
Total moment, Bohr magnetons per cell: 0.00
Fermi-level density of states, states/eV/cell: 5.13

Cell lengths 5.544, 5.544, 5.544 Å; angles 90.00, 90.00, 90.00 degrees
Space group Fm-3m (No. 225)
Unique sites:
Zn: 0.000 0.000 0.000
B: 0.250 0.250 0.250
W: 0.000 0.000 0.500

Bottom line: <one>, by a margin of 155 meV/atom.

<one>
Crystalline Zn3BW at its relaxed geometry, computed with PBE.

## Properties
Total moment, Bohr magnetons per cell: 0.74
Fermi-level density of states, states/eV/cell: 5.02

Cell lengths 4.113, 4.113, 4.113 Å; angles 90.00, 90.00, 90.00 degrees
Space group Pm-3m (No. 221)
Unique sites:
Zn: 0.000 0.000 0.500
B: 0.000 0.000 0.000
W: 0.500 0.500 0.500

<two>
Crystalline Zn3BW at its relaxed geometry, computed with PBE.

## Properties
Total moment, Bohr magnetons per cell: 1.02
Fermi-level density of states, states/eV/cell: 4.25

Cell lengths 4.942, 4.942, 4.942 Å; angles 90.00, 90.00, 90.00 degrees
Space group Pm-3m (No. 221)
Unique sites:
Zn: 0.000 0.000 0.500
B: 0.500 0.500 0.500
W: 0.000 0.000 0.000

Bottom line: <one>, by a margin of 1031 meV/atom.

<one>
Crystalline ZrBW3 at its relaxed geometry, computed with PBE.

## Properties
Total moment, Bohr magnetons per cell: 0.00
Fermi-level density of states, states/eV/cell: 7.86

Cell lengths 4.800, 4.800, 4.800 Å; angles 90.00, 90.00, 90.00 degrees
Space group Pm-3m (No. 221)
Unique sites:
Zr: 0.000 0.000 0.000
B: 0.500 0.500 0.500
W: 0.000 0.000 0.500

<two>
Crystalline ZrBW3 at its relaxed geometry, computed with PBE.

## Properties
Total moment, Bohr magnetons per cell: 0.00
Fermi-level density of states, states/eV/cell: 4.65

Cell lengths 4.307, 4.307, 4.307 Å; angles 90.00, 90.00, 90.00 degrees
Space group Pm-3m (No. 221)
Unique sites:
Zr: 0.000 0.000 0.000
B: 0.500 0.500 0.500
W: 0.000 0.500 0.500

Bottom line: <two>, by a margin of 3350 meV/atom.

<one>
Crystalline ZrB2W at its relaxed geometry, computed with PBE.

## Properties
Total moment, Bohr magnetons per cell: 0.00
Fermi-level density of states, states/eV/cell: 11.50

Cell lengths 5.819, 5.819, 5.819 Å; angles 90.00, 90.00, 90.00 degrees
Space group Fm-3m (No. 225)
Unique sites:
Zr: 0.000 0.000 0.000
B: 0.250 0.250 0.250
W: 0.000 0.000 0.500

<two>
Crystalline ZrB2W at its relaxed geometry, computed with PBE.

## Properties
Total moment, Bohr magnetons per cell: 0.00
Fermi-level density of states, states/eV/cell: 3.24

Cell lengths 3.2853, 3.2853, 16.2390 Å; angles 90.00, 90.00, 120.00 degrees
Space group R-3m (No. 166, hexagonal axes)
Unique sites:
Zr: 0.0000 0.0000 0.0000
B: 0.0000 0.0000 0.2422
W: 0.0000 0.0000 0.5000

<three>
Crystalline ZrB2W at its relaxed geometry, computed with PBE.

## Properties
Total moment, Bohr magnetons per cell: 0.00
Fermi-level density of states, states/eV/cell: 3.36

Cell lengths 5.016, 5.016, 10.350 Å; angles 90.00, 90.00, 90.00 degrees
Space group I-42d (No. 122)
Unique sites:
Zr: 0.000 0.000 0.000
B: 0.208 0.250 0.625
W: 0.000 0.000 0.500

Bottom line: <two>, by a margin of 750 meV/atom.

<one>
Crystalline YB at its relaxed geometry, computed with PBE.

## Properties
Total moment, Bohr magnetons per cell: 0.00
Fermi-level density of states, states/eV/cell: 3.15

Cell lengths 3.564, 3.199, 6.705 Å; angles 90.00, 105.48, 90.00 degrees
Space group P2_1/m (No. 11)
Unique sites:
Y: 0.125 0.250 0.250
B: 0.477 0.250 0.954

<two>
Crystalline YB at its relaxed geometry, computed with PBE.

## Properties
Total moment, Bohr magnetons per cell: 0.00
Fermi-level density of states, states/eV/cell: 7.52

Cell lengths 6.762, 3.193, 7.078 Å; angles 90.00, 106.62, 90.00 degrees
Space group C2/m (No. 12)
Unique sites:
Y: 0.078 0.000 0.260
B: 0.210 0.500 0.002

Bottom line: <one>, by a margin of 96 meV/atom.